(one)
This record from Alexandria via LeMat-Bulk describes crystalline CuPtCl at its relaxed geometry. The functional is PBE.

Cell lengths 3.085, 3.085, 5.812 Å; angles 90.00, 90.00, 120.00 degrees
Atoms (fractional coordinates):
Cu  0.000  0.000  0.000
Pt  0.667  0.333  0.318
Cl  0.333  0.667  0.718

Summary:
Its density of states at the Fermi level is 4.19 states/eV/cell. The calculation puts the magnetic moment at 0.0 μB/cell.

***

(two)
This record from Alexandria via LeMat-Bulk describes crystalline CuPtCl at its relaxed geometry. The functional is PBE.

Cell lengths 4.327, 4.327, 2.935 Å; angles 90.00, 90.00, 120.00 degrees
Atoms (fractional coordinates):
Cu  0.000  0.000  0.000
Pt  0.667  0.333  0.501
Cl  0.333  0.667  0.502

Summary:
Its density of states at the Fermi level is 1.59 states/eV/cell. The calculation puts the magnetic moment at 0.0 μB/cell.

***

Most stable = (one)

***

(one)
This record from Alexandria via LeMat-Bulk describes crystalline CuPt2Cl at its relaxed geometry. The functional is PBE.

Cell lengths 2.795, 4.790, 9.478 Å; angles 90.00, 90.00, 90.00 degrees
Atoms (fractional coordinates):
Cu  0.000  0.000  0.000
Cu  0.500  0.500  0.000
Pt  0.000  0.500  0.226
Pt  0.000  0.500  0.774
Pt  0.500  0.000  0.226
Pt  0.500  0.000  0.774
Cl  0.000  0.000  0.500
Cl  0.500  0.500  0.500

Summary:
Its density of states at the Fermi level is 8.42 states/eV/cell. The calculation puts the magnetic moment at 0.0 μB/cell.

***

(two)
This record from Alexandria via LeMat-Bulk describes crystalline CuPt2Cl at its relaxed geometry. The functional is PBE.

Cell lengths 2.863, 2.863, 26.214 Å; angles 90.00, 90.00, 120.00 degrees
Atoms (fractional coordinates):
Cu  0.000  0.000  0.000
Cu  0.333  0.667  0.667
Cu  0.667  0.333  0.333
Pt  0.000  0.000  0.256
Pt  0.000  0.000  0.744
Pt  0.333  0.667  0.410
Pt  0.333  0.667  0.923
Pt  0.667  0.333  0.077
Pt  0.667  0.333  0.590
Cl  0.000  0.000  0.500
Cl  0.333  0.667  0.167
Cl  0.667  0.333  0.833

Summary:
Its density of states at the Fermi level is 13.60 states/eV/cell. The calculation puts the magnetic moment at 0.0 μB/cell.

***

(three)
This record from Alexandria via LeMat-Bulk describes crystalline CuPt2Cl at its relaxed geometry. The functional is PBE.

Cell lengths 3.861, 3.861, 8.554 Å; angles 90.00, 90.00, 90.00 degrees
Atoms (fractional coordinates):
Cu  0.000  0.000  0.000
Cu  0.500  0.500  0.500
Pt  0.000  0.500  0.250
Pt  0.000  0.500  0.750
Pt  0.500  0.000  0.250
Pt  0.500  0.000  0.750
Cl  0.000  0.000  0.500
Cl  0.500  0.500  0.000

Summary:
Its density of states at the Fermi level is 11.26 states/eV/cell. The calculation puts the magnetic moment at 0.0 μB/cell.

***

Most stable = (two)

***

(one)
This record from Alexandria via LeMat-Bulk describes crystalline CuPtCl2 at its relaxed geometry. The functional is PBE.

Cell lengths 4.523, 4.523, 3.255 Å; angles 90.00, 90.00, 90.00 degrees
Atoms (fractional coordinates):
Cu  0.000  0.000  0.000
Pt  0.500  0.500  0.000
Cl  0.000  0.500  0.500
Cl  0.500  0.000  0.500

Summary:
Its density of states at the Fermi level is 2.48 states/eV/cell. The calculation puts the magnetic moment at 0.0 μB/cell.

***

(two)
This record from Alexandria via LeMat-Bulk describes crystalline CuPtCl2 at its relaxed geometry. The functional is PBE.

Cell lengths 4.571, 3.764, 4.603 Å; angles 90.00, 93.35, 90.00 degrees
Atoms (fractional coordinates):
Cu  0.000  0.000  0.000
Pt  0.500  0.000  0.500
Cl  0.251  0.500  0.251
Cl  0.749  0.500  0.749

Summary:
Its density of states at the Fermi level is 1.60 states/eV/cell. The calculation puts the magnetic moment at 0.0 μB/cell.

***

Most stable = (two)